A plane-wave DFT calculation with PBE was carried out for a relaxed Ga3Ni5Ge2 crystal.

E = -4.989 eV per atom
M_tot = 0.01 μB/f.u.
Crystal system = orthorhombic
Space-group type = Cmcm, No. 63

```
Ga3Ni5Ge2
1.0
-2.335 -1.736 2.616
2.823 -5.407 1.857
5.125 5.501 8.225
Ge Ni Ga
4 10 6
Direct
0.211 0.579 0.750
0.789 0.421 0.250
0.463 0.074 0.750
0.537 0.926 0.250
0.979 0.042 0.132
0.021 0.958 0.868
0.340 0.319 0.368
0.840 0.320 0.750
0.021 0.958 0.632
0.660 0.681 0.868
0.660 0.681 0.632
0.160 0.680 0.250
0.979 0.042 0.368
0.340 0.319 0.132
0.169 0.663 0.023
0.500 0.000 0.500
0.831 0.337 0.523
0.831 0.337 0.977
0.500 0.000 0.000
0.169 0.663 0.477
```

***

A plane-wave DFT calculation with PBE was carried out for a relaxed Gd2Tl2Pd3Pt crystal.

E = -5.140 eV per atom
M_tot = 0.00 μB/f.u.
Crystal system = trigonal
Space-group type = P3m1, No. 156

```
Gd2Tl2Pd3Pt
1.0
4.667 0.000 0.000
-2.334 4.042 0.000
0.000 0.000 8.965
Tl Pd Gd Pt
2 3 2 1
Direct
0.333 0.667 0.501
0.333 0.667 0.998
0.667 0.333 0.906
0.000 0.000 0.414
0.667 0.333 0.588
0.000 0.000 0.752
0.667 0.333 0.246
0.000 0.000 0.095
```

***

A plane-wave DFT calculation with PBE was carried out for a relaxed Cd4H2Se2Cl4O7 crystal.

E = -3.773 eV per atom
Crystal system = orthorhombic
Space-group type = Fmmm, No. 69

```
Cd4H2Se2Cl4O7
1.0
0.000 8.850 10.284
3.609 0.000 10.284
3.609 8.850 0.000
Cl O Cd Se H
8 14 8 4 4
Direct
0.212 0.687 0.788
0.445 0.911 0.555
0.555 0.089 0.445
0.911 0.445 0.089
0.089 0.555 0.911
0.687 0.212 0.313
0.313 0.788 0.687
0.788 0.313 0.212
0.900 0.924 0.452
0.548 0.277 0.100
0.661 0.339 0.661
0.388 0.020 0.980
0.100 0.076 0.548
0.076 0.100 0.277
0.723 0.452 0.924
0.452 0.723 0.900
0.612 0.980 0.020
0.020 0.388 0.612
0.277 0.548 0.076
0.339 0.661 0.339
0.924 0.900 0.723
0.980 0.612 0.388
0.190 0.418 0.582
0.418 0.190 0.810
0.810 0.582 0.418
0.750 0.750 0.750
0.000 0.000 0.500
0.500 0.500 0.000
0.250 0.250 0.250
0.582 0.810 0.190
0.987 0.257 0.743
0.013 0.743 0.257
0.257 0.987 0.013
0.743 0.013 0.987
0.411 0.665 0.335
0.665 0.411 0.589
0.335 0.589 0.411
0.589 0.335 0.665
```

***

A plane-wave DFT calculation with PBE was carried out for a relaxed Er6Zn23Ge crystal.

E = -2.378 eV per atom
M_tot = 0.01 μB/f.u.
Crystal system = cubic
Space-group type = Fm-3m, No. 225

```
Er6Zn23Ge
1.0
0.000 6.376 6.376
6.376 0.000 6.376
6.376 6.376 0.000
Zn Er Ge
23 6 1
Direct
0.000 0.000 0.500
0.000 0.500 0.500
0.832 0.505 0.832
0.375 0.375 0.876
0.500 0.500 0.500
0.500 0.500 0.000
0.625 0.625 0.625
0.375 0.876 0.375
0.000 0.500 0.000
0.832 0.832 0.832
0.625 0.625 0.124
0.832 0.832 0.505
0.375 0.375 0.375
0.168 0.168 0.168
0.505 0.832 0.832
0.500 0.000 0.000
0.168 0.495 0.168
0.124 0.625 0.625
0.168 0.168 0.495
0.495 0.168 0.168
0.500 0.000 0.500
0.876 0.375 0.375
0.625 0.124 0.625
0.783 0.217 0.783
0.783 0.783 0.217
0.217 0.783 0.783
0.783 0.217 0.217
0.217 0.217 0.783
0.217 0.783 0.217
0.000 0.000 0.000
```

***

A plane-wave DFT calculation with PBE was carried out for a relaxed Zr2H3O6 crystal.

E = -7.164 eV per atom
M_tot = 1.00 μB/f.u.
Crystal system = triclinic
Space-group type = P1, No. 1

```
Zr2H3O6
1.0
0.419 5.367 -1.577
4.036 -2.380 3.488
0.053 -2.652 -4.363
O H Zr
6 3 2
Direct
0.781 0.820 0.770
0.251 0.311 0.341
0.946 0.631 0.232
0.350 0.001 0.760
0.646 0.086 0.307
0.094 0.465 0.823
0.474 0.520 0.498
0.142 0.816 0.512
0.173 0.404 0.687
0.176 0.906 0.069
0.815 0.193 0.000
```

***

A plane-wave DFT calculation with PBE was carried out for a relaxed HoReB4 crystal.

E = -7.880 eV per atom
M_tot = 0.00 μB/f.u.
Crystal system = orthorhombic
Space-group type = Pbam, No. 55

```
HoReB4
1.0
-2.068 -0.961 -5.498
5.062 -10.342 -0.097
-2.983 -1.473 1.379
B Re Ho
16 4 4
Direct
0.288 0.315 0.500
0.136 0.968 0.500
0.023 0.692 0.500
0.977 0.308 0.500
0.477 0.192 0.500
0.788 0.185 0.500
0.386 0.048 0.500
0.614 0.952 0.500
0.523 0.808 0.500
0.886 0.452 0.500
0.864 0.032 0.500
0.712 0.685 0.500
0.114 0.548 0.500
0.636 0.532 0.500
0.212 0.815 0.500
0.364 0.468 0.500
0.633 0.087 0.000
0.367 0.913 0.000
0.133 0.413 0.000
0.867 0.587 0.000
0.626 0.350 0.000
0.126 0.150 0.000
0.374 0.650 0.000
0.874 0.850 0.000
```

***

A plane-wave DFT calculation with PBE was carried out for a relaxed ScCdPb crystal.

E = -3.678 eV per atom
M_tot = 0.00 μB/f.u.
Crystal system = cubic
Space-group type = F-43m, No. 216

```
ScCdPb
1.0
0.000 3.461 3.461
3.461 0.000 3.461
3.461 3.461 0.000
Sc Pb Cd
1 1 1
Direct
0.000 0.000 0.000
0.750 0.750 0.750
0.250 0.250 0.250
```

***

A plane-wave DFT calculation with PBE was carried out for a relaxed MgAgBi crystal.

E = -2.857 eV per atom
Crystal system = hexagonal
Space-group type = P-62m, No. 189

```
MgAgBi
1.0
-6.034 4.336 -2.450
-0.417 -3.774 6.841
1.558 3.230 1.877
Bi Mg Ag
3 3 3
Direct
0.277 0.000 0.000
0.723 0.723 0.000
0.000 0.277 0.000
0.606 0.000 0.500
0.000 0.606 0.500
0.394 0.394 0.500
0.667 0.333 0.000
0.333 0.667 0.000
0.000 0.000 0.500
```

***

> Look up the E of the fifth one.

-7.164 eV per atom

***

> What is the formula in the first record?

Ga3Ni5Ge2

***

> Among the records above, which one has the highest E?

Er6Zn23Ge

***

> What is the E in the sixth record?

-7.880 eV per atom